<1>
! InHgI2 | the Alexandria database | PBE | optimized geometry; values from VASP
! - symmetry = P1 (1)
&SYSTEM
  ibrav = 0, nat = 8, ntyp = 3
/
ATOMIC_SPECIES
I 126.90 I.upf
Hg 200.59 Hg.upf
In 114.82 In.upf
CELL_PARAMETERS angstrom
-5.519 -0.520 4.958
4.142 -1.744 6.193
1.189 5.464 5.391
ATOMIC_POSITIONS crystal
I 0.824 0.340 0.055
I 0.370 0.949 0.151
I 0.864 0.662 0.391
I 0.923 0.980 0.704
Hg 0.380 0.624 0.782
Hg 0.386 0.343 0.574
In 0.756 0.988 0.069
In 0.194 0.349 0.256

---

<2>
! InHgI2 | the Alexandria database | PBE | optimized geometry; values from VASP
! - symmetry = P4/mmm (123)
! - DOS at the Fermi energy (states/eV/f.u.) = 1.8
&SYSTEM
  ibrav = 0, nat = 4, ntyp = 3
/
ATOMIC_SPECIES
I 126.90 I.upf
Hg 200.59 Hg.upf
In 114.82 In.upf
CELL_PARAMETERS angstrom
-1.597 2.569 -2.755
2.550 -1.465 -2.845
-5.515 -5.623 -2.046
ATOMIC_POSITIONS crystal
I 0.000 0.000 0.755
I 0.000 0.000 0.245
Hg 0.500 0.500 0.500
In 0.500 0.500 0.000

---

Stability check: which of them is most stable? <1>.

---

<1>
! InHgI2 | the Alexandria database | PBE | optimized geometry; values from VASP
! - symmetry = P-1 (2)
! - DOS at the Fermi energy (states/eV/f.u.) = 2.0
&SYSTEM
  ibrav = 0, nat = 4, ntyp = 3
/
ATOMIC_SPECIES
In 114.82 In.upf
Hg 200.59 Hg.upf
I 126.90 I.upf
CELL_PARAMETERS angstrom
4.731 -0.048 0.020
-0.255 4.724 0.006
-0.044 -0.010 7.008
ATOMIC_POSITIONS crystal
In 0.500 0.000 0.500
Hg 0.000 0.500 0.000
I 0.000 0.500 0.500
I 0.500 0.000 0.000

---

<2>
! InHgI2 | the Alexandria database | PBE | optimized geometry; values from VASP
! - symmetry = P2_1/m (11)
! - DOS at the Fermi energy (states/eV/f.u.) = 1.1
&SYSTEM
  ibrav = 0, nat = 8, ntyp = 3
/
ATOMIC_SPECIES
In 114.82 In.upf
Hg 200.59 Hg.upf
I 126.90 I.upf
CELL_PARAMETERS angstrom
4.651 0.000 0.000
0.000 8.503 -3.125
0.000 -3.600 10.367
ATOMIC_POSITIONS crystal
In 0.250 0.832 0.225
In 0.750 0.168 0.775
Hg 0.750 0.694 0.271
Hg 0.250 0.306 0.729
I 0.250 0.240 0.421
I 0.750 0.760 0.579
I 0.750 0.264 0.079
I 0.250 0.736 0.921

---

Stability check: which of them is most stable? <2>.

---

<1>
! InHgI2 | the Alexandria database | PBE | optimized geometry; values from VASP
! - symmetry = R3m (160)
! - DOS at the Fermi energy (states/eV/f.u.) = 3.1
&SYSTEM
  ibrav = 0, nat = 4, ntyp = 3
/
ATOMIC_SPECIES
In 114.82 In.upf
Hg 200.59 Hg.upf
I 126.90 I.upf
CELL_PARAMETERS angstrom
4.329 0.000 0.000
2.165 3.749 0.000
2.165 1.250 10.392
ATOMIC_POSITIONS crystal
In 0.666 0.666 0.001
Hg 0.501 0.501 0.496
I 0.061 0.061 0.816
I 0.271 0.271 0.186

---

<2>
! InHgI2 | the Alexandria database | PBE | optimized geometry; values from VASP
! - symmetry = P1 (1)
! - DOS at the Fermi energy (states/eV/f.u.) = 0.0
&SYSTEM
  ibrav = 0, nat = 8, ntyp = 3
/
ATOMIC_SPECIES
I 126.90 I.upf
Hg 200.59 Hg.upf
In 114.82 In.upf
CELL_PARAMETERS angstrom
-3.905 -2.847 -2.867
5.152 -5.630 -2.501
-3.269 -6.047 5.166
ATOMIC_POSITIONS crystal
I 0.285 0.237 0.139
I 0.180 0.766 0.470
I 0.898 0.775 0.054
I 0.064 0.264 0.687
Hg 0.514 0.595 0.790
Hg 0.507 0.132 0.473
In 0.945 0.987 0.283
In 0.825 0.479 0.423

---

<3>
! InHgI2 | the Alexandria database | PBE | optimized geometry; values from VASP
! - symmetry = C2/m (12)
! - DOS at the Fermi energy (states/eV/f.u.) = 1.7
&SYSTEM
  ibrav = 0, nat = 8, ntyp = 3
/
ATOMIC_SPECIES
In 114.82 In.upf
Hg 200.59 Hg.upf
I 126.90 I.upf
CELL_PARAMETERS angstrom
8.227 0.000 0.549
0.000 4.897 0.000
-2.181 0.000 7.756
ATOMIC_POSITIONS crystal
In 0.000 0.500 0.000
In 0.000 0.000 0.500
Hg 0.500 0.500 0.500
Hg 0.500 0.000 0.000
I 0.767 0.000 0.769
I 0.233 0.000 0.231
I 0.767 0.500 0.269
I 0.233 0.500 0.731

---

Stability check: which of them is most stable? <2>.